GGA+U PmV2GaO8, relaxed; final energy = -7.27 eV per atom; symmetry = I-4m2, No. 119; total magnetic moment = 0.00 μB per formula unit; N(E_F) = 0.000 states/eV/f.u.
1.0
-5.7453 -0.1489 1.2958
3.3538 -3.5713 3.2722
1.8470 5.5004 1.0216
Pm V Ga O
1 2 1 8
Cartesian
2.0025 0.0345 3.2889
-2.5470 1.7457 2.3007
-1.1957 -1.8601 2.2840
0.0000 0.0000 0.0000
-1.3670 1.3076 1.0683
0.1881 -0.8283 2.2291
0.1428 3.9703 1.6884
-2.9199 3.4394 1.9914
-2.3426 -1.5674 3.5417
-3.9865 0.7337 2.2163
-1.9147 1.5022 3.9268
0.9227 1.9859 3.7201